Record 1
Compound: Ag4SbSe5
Source: Alexandria via LeMat-Bulk
Functional: PBE-GGA
Structure: optimized geometry

Properties
- Raw formation energy: -0.82 eV/f.u.
- Calculated total energy: -67.5 eV for the cell shown

Cell lengths 8.911, 8.911, 5.588 Å; angles 90.00, 90.00, 90.00 degrees
Space group I4/m (No. 87)
Inequivalent atoms, fractional coordinates:
Ag (0.107, 0.704, 0.000) x8
Sb (0.000, 0.000, 0.500) x2
Se (0.000, 0.000, 0.000) x2
Se (0.089, 0.698, 0.500) x8



Record 2
Compound: Ag8SbSe6
Source: Alexandria via LeMat-Bulk
Functional: PBE-GGA
Structure: optimized geometry

Properties
- Raw formation energy: -1.13 eV/f.u.
- Calculated total energy: -97.9 eV for the cell shown

Cell lengths 8.233, 7.869, 11.088 Å; angles 90.00, 90.00, 90.00 degrees
Space group Pmn2_1 (No. 31)
Inequivalent atoms, fractional coordinates:
Ag (0.000, 0.095, 0.000) x2
Ag (0.000, 0.223, 0.423) x2
Ag (0.205, 0.037, 0.215) x4
Ag (0.209, 0.605, 0.804) x4
Ag (0.219, 0.665, 0.096) x4
Sb (0.000, 0.749, 0.432) x2
Se (0.000, 0.305, 0.192) x2
Se (0.000, 0.508, 0.593) x2
Se (0.000, 0.770, 0.947) x2
Se (0.000, 0.989, 0.591) x2
Se (0.202, 0.248, 0.832) x4



Record 3
Compound: AgSbSe2
Source: Alexandria via LeMat-Bulk
Functional: PBE-GGA
Structure: optimized geometry

Properties
- Raw formation energy: -0.14 eV/f.u.
- Calculated total energy: -28.2 eV for the cell shown

Cell lengths 3.797, 3.935, 13.096 Å; angles 90.00, 90.00, 90.00 degrees
Space group Imm2 (No. 44)
Inequivalent atoms, fractional coordinates:
Ag (0.000, 0.000, 0.000) x2
Sb (0.000, 0.500, 0.756) x2
Se (0.000, 0.000, 0.415) x2
Se (0.000, 0.500, 0.162) x2



Record 4
Compound: AgSbSe2
Source: Alexandria via LeMat-Bulk
Functional: PBE-GGA
Structure: optimized geometry

Properties
- Raw formation energy: 1.36 eV/f.u.
- Calculated total energy: -50.3 eV for the cell shown

Cell lengths 7.049, 7.049, 7.049 Å; angles 90.00, 90.00, 90.00 degrees
Space group F-43m (No. 216)
Inequivalent atoms, fractional coordinates:
Ag (0.000, 0.000, 0.000) x4
Sb (0.250, 0.250, 0.750) x4
Se (0.000, 0.000, 0.500) x4
Se (0.250, 0.250, 0.250) x4



Record 5
Compound: AgSbSe2
Source: Alexandria via LeMat-Bulk
Functional: PBE-GGA
Structure: optimized geometry

Properties
- Raw formation energy: -0.68 eV/f.u.
- Calculated total energy: -29.3 eV for the cell shown

Cell lengths 5.786, 5.794, 7.077 Å; angles 113.14, 113.09, 90.26 degrees
Space group P-1 (No. 2)
Inequivalent atoms, fractional coordinates:
Ag (0.115, 0.385, 0.250) x2
Sb (0.385, 0.114, 0.750) x2
Se (0.149, 0.876, 0.255) x2
Se (0.376, 0.650, 0.755) x2



Record 6
Compound: AgSbSe
Source: Alexandria via LeMat-Bulk
Functional: PBE-GGA
Structure: optimized geometry

Properties
- Raw formation energy: -0.13 eV/f.u.
- Calculated total energy: -21.2 eV for the cell shown

Cell lengths 4.977, 5.345, 6.814 Å; angles 71.97, 74.18, 71.56 degrees
Space group P-1 (No. 2)
Inequivalent atoms, fractional coordinates:
Ag (0.216, 0.223, 0.004) x2
Sb (0.430, 0.429, 0.242) x2
Se (0.023, 0.152, 0.702) x2



Record 7
Compound: AgSbSe2
Source: Alexandria via LeMat-Bulk
Functional: PBE-GGA
Structure: optimized geometry

Properties
- Raw formation energy: -0.03 eV/f.u.
- Calculated total energy: -28.0 eV for the cell shown

Cell lengths 5.814, 5.814, 5.577 Å; angles 90.00, 90.00, 90.00 degrees
Space group I4/mmm (No. 139)
Inequivalent atoms, fractional coordinates:
Ag (0.000, 0.000, 0.000) x2
Sb (0.000, 0.000, 0.500) x2
Se (0.000, 0.500, 0.000) x4



Record 8
Compound: SiAg2SbSe4
Source: Alexandria via LeMat-Bulk
Functional: PBE-GGA
Structure: optimized geometry

Properties
- Raw formation energy: -1.33 eV/f.u.
- Calculated total energy: -61.0 eV for the cell shown

Cell lengths 9.118, 6.999, 6.856 Å; angles 90.00, 90.00, 90.00 degrees
Space group Pmn2_1 (No. 31)
Inequivalent atoms, fractional coordinates:
Si (0.000, 0.169, 0.000) x2
Ag (0.233, 0.715, 0.024) x4
Sb (0.000, 0.793, 0.401) x2
Se (0.000, 0.169, 0.347) x2
Se (0.000, 0.872, 0.859) x2
Se (0.201, 0.340, 0.895) x4



Record 9
Compound: SmAg2SbSe4
Source: Alexandria via LeMat-Bulk
Functional: PBE-GGA
Structure: optimized geometry

Properties
- Raw formation energy: -5.31 eV/f.u.
- Calculated total energy: -33.8 eV for the cell shown

Cell lengths 6.917, 4.207, 7.286 Å; angles 90.00, 110.76, 90.00 degrees
Space group P2/m (No. 10)
Inequivalent atoms, fractional coordinates:
Sm (0.000, 0.000, 0.000) x1
Ag (0.500, 0.000, 0.500) x1
Ag (0.500, 0.500, 0.000) x1
Sb (0.000, 0.500, 0.500) x1
Se (0.251, 0.500, 0.255) x2
Se (0.255, 0.000, 0.748) x2



Record 10
Compound: Sm2Ag3SbSe6
Source: Alexandria via LeMat-Bulk
Functional: PBE-GGA
Structure: optimized geometry

Properties
- Raw formation energy: -10.00 eV/f.u.
- Calculated total energy: -106.0 eV for the cell shown

Cell lengths 17.641, 4.226, 8.107 Å; angles 90.00, 99.26, 90.00 degrees
Space group C2/m (No. 12)
Inequivalent atoms, fractional coordinates:
Sm (0.168, 0.000, 0.320) x4
Ag (0.000, 0.500, 0.500) x2
Ag (0.174, 0.000, 0.809) x4
Sb (0.000, 0.500, 0.000) x2
Se (0.002, 0.000, 0.752) x4
Se (0.164, 0.500, 0.573) x4
Se (0.165, 0.500, 0.068) x4



Record 11
Compound: AgSn2SbSe4
Source: Alexandria via LeMat-Bulk
Functional: PBE-GGA
Structure: optimized geometry

Properties
- Raw formation energy: -2.31 eV/f.u.
- Calculated total energy: -31.2 eV for the cell shown

Cell lengths 7.173, 4.227, 7.209 Å; angles 90.00, 109.38, 90.00 degrees
Space group P2/m (No. 10)
Inequivalent atoms, fractional coordinates:
Ag (0.000, 0.000, 0.000) x1
Sn (0.500, 0.000, 0.500) x1
Sn (0.500, 0.500, 0.000) x1
Sb (0.000, 0.500, 0.500) x1
Se (0.238, 0.000, 0.751) x2
Se (0.238, 0.500, 0.244) x2



Record 12
Compound: Ag2SnSbSe4
Source: Alexandria via LeMat-Bulk
Functional: PBE-GGA
Structure: optimized geometry

Properties
- Raw formation energy: -1.34 eV/f.u.
- Calculated total energy: -58.2 eV for the cell shown

Cell lengths 9.715, 6.923, 7.163 Å; angles 90.00, 90.00, 90.00 degrees
Space group Pmn2_1 (No. 31)
Inequivalent atoms, fractional coordinates:
Ag (0.247, 0.185, 0.000) x4
Sn (0.000, 0.323, 0.499) x2
Sb (0.000, 0.706, 0.007) x2
Se (0.000, 0.338, 0.111) x2
Se (0.000, 0.689, 0.615) x2
Se (0.242, 0.183, 0.627) x4



Record 13
Compound: AgSnSb2Se4
Source: Alexandria via LeMat-Bulk
Functional: PBE-GGA
Structure: optimized geometry

Properties
- Raw formation energy: -1.51 eV/f.u.
- Calculated total energy: -30.5 eV for the cell shown

Cell lengths 7.104, 4.364, 7.131 Å; angles 90.00, 111.69, 90.00 degrees
Space group P2/m (No. 10)
Inequivalent atoms, fractional coordinates:
Ag (0.000, 0.000, 0.000) x1
Sn (0.000, 0.500, 0.500) x1
Sb (0.500, 0.000, 0.500) x1
Sb (0.500, 0.500, 0.000) x1
Se (0.249, 0.500, 0.244) x2
Se (0.255, 0.000, 0.755) x2



Record 14
Compound: SrAgSbSe3
Source: Alexandria via LeMat-Bulk
Functional: PBE-GGA
Structure: optimized geometry

Properties
- Raw formation energy: -4.70 eV/f.u.
- Calculated total energy: -47.6 eV for the cell shown

Cell lengths 8.555, 4.218, 9.321 Å; angles 90.00, 103.43, 90.00 degrees
Space group P2_1/m (No. 11)
Inequivalent atoms, fractional coordinates:
Sr (0.193, 0.250, 0.252) x2
Ag (0.087, 0.250, 0.589) x2
Sb (0.325, 0.750, 0.849) x2
Se (0.103, 0.250, 0.886) x2
Se (0.254, 0.750, 0.511) x2
Se (0.435, 0.750, 0.154) x2



Record 15
Compound: Tb2Ag3SbSe6
Source: Alexandria via LeMat-Bulk
Functional: PBE-GGA
Structure: optimized geometry

Properties
- Raw formation energy: -10.04 eV/f.u.
- Calculated total energy: -105.8 eV for the cell shown

Cell lengths 17.645, 4.176, 8.092 Å; angles 90.00, 100.14, 90.00 degrees
Space group C2/m (No. 12)
Inequivalent atoms, fractional coordinates:
Tb (0.168, 0.000, 0.323) x4
Ag (0.000, 0.500, 0.500) x2
Ag (0.172, 0.000, 0.814) x4
Sb (0.000, 0.500, 0.000) x2
Se (0.000, 0.000, 0.251) x4
Se (0.166, 0.500, 0.074) x4
Se (0.166, 0.500, 0.572) x4



Record 16
Compound: Tb3Ag3SbSe8
Source: Alexandria via LeMat-Bulk
Functional: PBE-GGA
Structure: optimized geometry

Properties
- Raw formation energy: -14.40 eV/f.u.
- Calculated total energy: -137.7 eV for the cell shown

Cell lengths 13.896, 8.306, 8.109 Å; angles 90.00, 123.59, 90.00 degrees
Space group C2/m (No. 12)
Inequivalent atoms, fractional coordinates:
Tb (0.000, 0.000, 0.000) x2
Tb (0.250, 0.250, 0.500) x4
Ag (0.000, 0.500, 0.500) x2
Ag (0.250, 0.250, 0.000) x4
Sb (0.000, 0.500, 0.000) x2
Se (0.000, 0.257, 0.242) x8
Se (0.243, 0.500, 0.244) x4
Se (0.249, 0.000, 0.252) x4



Record 17
Compound: TcAg2SbSe
Source: Alexandria via LeMat-Bulk
Functional: PBE-GGA
Structure: optimized geometry

Properties
- Raw formation energy: 5.54 eV/f.u.
- Calculated total energy: -18.1 eV for the cell shown

Cell lengths 4.821, 4.821, 5.904 Å; angles 90.00, 90.00, 90.00 degrees
Space group P4/mmm (No. 123)
Inequivalent atoms, fractional coordinates:
Tc (0.000, 0.000, 0.000) x1
Ag (0.000, 0.500, 0.500) x2
Sb (0.500, 0.500, 0.000) x1
Se (0.500, 0.500, 0.500) x1



Record 18
Compound: AgSbTeSe2
Source: Alexandria via LeMat-Bulk
Functional: PBE-GGA
Structure: optimized geometry

Properties
- Raw formation energy: 2.82 eV/f.u.
- Calculated total energy: -14.3 eV for the cell shown

Cell lengths 5.483, 5.483, 5.111 Å; angles 90.00, 90.00, 90.00 degrees
Space group P4/mmm (No. 123)
Inequivalent atoms, fractional coordinates:
Ag (0.000, 0.000, 0.000) x1
Sb (0.500, 0.500, 0.000) x1
Te (0.000, 0.000, 0.500) x1
Se (0.000, 0.500, 0.500) x2



Record 19
Compound: AgSbTeSe
Source: Alexandria via LeMat-Bulk
Functional: PBE-GGA
Structure: optimized geometry

Properties
- Energy above the lowest structure with this stoichiometry: 0.0 kJ per mole of atoms
- Raw formation energy: -0.31 eV/f.u.
- Calculated total energy: -27.8 eV for the cell shown

Cell lengths 6.253, 6.054, 6.060 Å; angles 90.00, 91.57, 90.00 degrees
Space group Cm (No. 8)
Inequivalent atoms, fractional coordinates:
Ag (0.000, 0.000, 0.000) x2
Sb (0.431, 0.000, 0.466) x2
Te (0.397, 0.500, 0.540) x2
Se (0.429, 0.000, 0.046) x2



Record 20
Compound: AgSbTeSe
Source: Alexandria via LeMat-Bulk
Functional: PBE-GGA
Structure: optimized geometry

Properties
- Energy above the lowest structure with this stoichiometry: 0.2 kJ per mole of atoms
- Raw formation energy: -0.30 eV/f.u.
- Calculated total energy: -13.9 eV for the cell shown

Cell lengths 4.181, 4.181, 6.005 Å; angles 90.00, 90.00, 90.00 degrees
Space group P4/mmm (No. 123)
Inequivalent atoms, fractional coordinates:
Ag (0.000, 0.000, 0.000) x1
Sb (0.500, 0.500, 0.500) x1
Te (0.500, 0.500, 0.000) x1
Se (0.000, 0.000, 0.500) x1